Density functional theory data (PBE-GGA) for a relaxed ScFeCuAs crystal.

The structure in extended XYZ format:
```
4
Lattice="0.000 3.036 3.036 3.036 0.000 3.036 3.036 3.036 0.000" Properties=species:S:1:pos:R:3 pbc="T T T"
Sc 0.000 0.000 0.000
Fe 1.518 1.518 1.518
Cu 4.554 4.554 4.554
As 3.036 3.036 3.036
```

Summary:
* SG: F-43m
* E: -5.88 eV/atom
* ΔE to the lowest computed polymorph: 104 meV/atom